{"formula": "KTlRh", "functional": "meta-GGA SCAN", "state": "single point on PBEsol structure", "spacegroup": "F-43m (216)", "ef_ev_per_atom": 0.593, "lattice_angstrom": [[6.827, 0.000, 0.000], [0.000, 6.827, 0.000], [0.000, 0.000, 6.827]], "species": ["K", "K", "K", "K", "Tl", "Tl", "Tl", "Tl", "Rh", "Rh", "Rh", "Rh"], "frac_coords": [[0.000, 0.000, 0.000], [0.000, 0.500, 0.500], [0.500, 0.000, 0.500], [0.500, 0.500, 0.000], [0.250, 0.250, 0.750], [0.250, 0.750, 0.250], [0.750, 0.250, 0.250], [0.750, 0.750, 0.750], [0.000, 0.000, 0.500], [0.000, 0.500, 0.000], [0.500, 0.000, 0.000], [0.500, 0.500, 0.500]]}